w:
## ZrPaOs (PBE)

Data for a geometry-optimized ZrPaOs structure.

a = 3.5283 Å, b = 3.5283 Å, c = 5.6288 Å
α = 108.27°, β = 108.27°, γ = 90.00°
Fractional coordinates of all 3 atoms:
Zr 0.0076 0.0076 0.0152
Os 0.6821 0.6821 0.3642
Pa 0.3103 0.3103 0.6207

- Calculated volume: 20.94 Å³/atom
- Size of the total moment: 0.00 μB per atom
- SG: I4mm, No. 107

=====

x:
## ZrPaOs (PBE)

Data for a geometry-optimized ZrPaOs structure.

a = 4.4746 Å, b = 4.4746 Å, c = 7.9185 Å
α = 73.59°, β = 73.59°, γ = 60.00°
Fractional coordinates of all 6 atoms:
Zr 0.3633 0.3633 0.9100
Zr 0.6367 0.6367 0.0900
Os 0.9334 0.9334 0.1998
Os 0.0666 0.0666 0.8002
Pa 0.7965 0.7965 0.6104
Pa 0.2035 0.2035 0.3896

- Calculated volume: 21.63 Å³/atom
- Size of the total moment: 0.00 μB per atom
- SG: R-3m, No. 166

=====

y:
## ZrPaOs (PBE)

Data for a geometry-optimized ZrPaOs structure.

a = 5.7987 Å, b = 5.5352 Å, c = 5.5351 Å
α = 74.18°, β = 58.41°, γ = 58.41°
Fractional coordinates of all 6 atoms:
Os 0.5083 0.9636 0.5799
Os 0.0083 0.9636 0.5799
Zr 0.4001 0.1668 0.0931
Zr 0.9001 0.4768 0.7831
Pa 0.5693 0.4745 0.4469
Pa 0.0694 0.8306 0.0907

- Calculated volume: 21.49 Å³/atom
- Size of the total moment: 0.00 μB per atom
- SG: Ima2, No. 46

=====

z:
## ZrPaOs (PBE)

Data for a geometry-optimized ZrPaOs structure.

a = 4.6582 Å, b = 4.6582 Å, c = 4.6582 Å
α = 60.00°, β = 60.00°, γ = 60.00°
Fractional coordinates of all 3 atoms:
Pa 0.5000 0.5000 0.5000
Os 0.2500 0.2500 0.2500
Zr 0.0000 0.0000 0.0000

- Calculated volume: 23.82 Å³/atom
- Size of the total moment: 0.00 μB per atom
- SG: F-43m, No. 216

=====

Least stable = z

=====

w:
## Os5Pb3 (PBE)

Data for a geometry-optimized Os5Pb3 structure.

a = 5.6921 Å, b = 5.6921 Å, c = 4.6342 Å
α = 90.00°, β = 90.00°, γ = 107.69°
Fractional coordinates of all 8 atoms:
Os 0.5000 0.0000 0.0000
Os 0.2105 0.2105 0.5000
Os 0.0000 0.5000 0.0000
Os 0.0000 0.0000 0.0000
Os 0.7895 0.7895 0.5000
Pb 0.2617 0.7383 0.5000
Pb 0.5000 0.5000 0.0000
Pb 0.7383 0.2617 0.5000

- Calculated volume: 17.88 Å³/atom
- Size of the total moment: 0.18 μB per atom
- SG: Cmmm, No. 65

=====

x:
## Os5Pb3 (PBE)

Data for a geometry-optimized Os5Pb3 structure.

a = 8.5960 Å, b = 8.5960 Å, c = 4.9634 Å
α = 90.00°, β = 90.00°, γ = 120.00°
Fractional coordinates of all 16 atoms:
Pb 0.6176 0.6176 0.7500
Pb 0.0000 0.3824 0.7500
Pb 0.3824 0.0000 0.7500
Pb 0.3824 0.3824 0.2500
Pb 0.6176 0.0000 0.2500
Pb 0.0000 0.6176 0.2500
Os 0.3333 0.6667 0.0000
Os 0.0000 0.8303 0.7500
Os 0.3333 0.6667 0.5000
Os 0.6667 0.3333 0.0000
Os 0.8303 0.0000 0.7500
Os 0.6667 0.3333 0.5000
Os 0.1697 0.0000 0.2500
Os 0.0000 0.1697 0.2500
Os 0.1697 0.1697 0.7500
Os 0.8303 0.8303 0.2500

- Calculated volume: 19.85 Å³/atom
- Size of the total moment: 0.00 μB per atom
- SG: P6_3/mcm, No. 193

=====

Least stable = x

=====

w:
## Os4Pb (PBE)

Data for a geometry-optimized Os4Pb structure.

a = 4.8451 Å, b = 4.8451 Å, c = 4.8451 Å
α = 90.00°, β = 90.00°, γ = 90.00°
Fractional coordinates of all 5 atoms:
Os 0.5000 0.5000 0.0000
Os 0.0000 0.0000 0.0000
Os 0.0000 0.5000 0.5000
Os 0.5000 0.0000 0.5000
Pb 0.5000 0.5000 0.5000

- Calculated volume: 22.75 Å³/atom
- Size of the total moment: 0.86 μB per atom
- SG: Pm-3m, No. 221

=====

x:
## Os4Pb (PBE)

Data for a geometry-optimized Os4Pb structure.

a = 5.1187 Å, b = 5.1187 Å, c = 5.1187 Å
α = 109.47°, β = 109.47°, γ = 109.47°
Fractional coordinates of all 5 atoms:
Os 0.0000 0.0000 0.5000
Os 0.0000 0.5000 0.0000
Os 0.5000 0.5000 0.5000
Os 0.5000 0.0000 0.0000
Pb 0.0000 0.0000 0.0000

- Calculated volume: 20.65 Å³/atom
- Size of the total moment: 0.58 μB per atom
- SG: Im-3m, No. 229

=====

Least stable = w

=====

w:
## OsPd3Pb (PBE)

Data for a geometry-optimized OsPd3Pb structure.

a = 4.8689 Å, b = 4.8689 Å, c = 4.8689 Å
α = 90.00°, β = 90.00°, γ = 90.00°
Fractional coordinates of all 5 atoms:
Os 0.0000 0.0000 0.0000
Pb 0.5000 0.5000 0.5000
Pd 0.0000 0.0000 0.5000
Pd 0.0000 0.5000 0.0000
Pd 0.5000 0.0000 0.0000

- Calculated volume: 23.09 Å³/atom
- Size of the total moment: 0.00 μB per atom
- SG: Pm-3m, No. 221

=====

x:
## OsPd3Pb (PBE)

Data for a geometry-optimized OsPd3Pb structure.

a = 4.9617 Å, b = 4.9617 Å, c = 4.9617 Å
α = 90.00°, β = 90.00°, γ = 90.00°
Fractional coordinates of all 5 atoms:
Pd 0.0000 0.0000 0.5000
Pd 0.0000 0.5000 0.0000
Pd 0.5000 0.0000 0.0000
Os 0.5000 0.5000 0.5000
Pb 0.0000 0.0000 0.0000

- Calculated volume: 24.43 Å³/atom
- Size of the total moment: 0.63 μB per atom
- SG: Pm-3m, No. 221

=====

Least stable = x

=====

w:
## OsPtPb (PBE)

Data for a geometry-optimized OsPtPb structure.

a = 3.0865 Å, b = 3.0865 Å, c = 6.7181 Å
α = 90.00°, β = 90.00°, γ = 120.00°
Fractional coordinates of all 3 atoms:
Pt 0.6667 0.3333 0.6873
Pb 0.3333 0.6667 0.3278
Os 0.0000 0.0000 0.9849

- Calculated volume: 18.48 Å³/atom
- Size of the total moment: 0.00 μB per atom
- SG: P3m1, No. 156

=====

x:
## OsPtPb (PBE)

Data for a geometry-optimized OsPtPb structure.

a = 4.4587 Å, b = 4.4587 Å, c = 4.4587 Å
α = 60.00°, β = 60.00°, γ = 60.00°
Fractional coordinates of all 3 atoms:
Pb 0.0000 0.0000 0.0000
Pt 0.5000 0.5000 0.5000
Os 0.7500 0.7500 0.7500

- Calculated volume: 20.89 Å³/atom
- Size of the total moment: 0.21 μB per atom
- SG: F-43m, No. 216

=====

Least stable = w

=====

w:
## OsPtPb (PBE)

Data for a geometry-optimized OsPtPb structure.

a = 5.9820 Å, b = 5.9820 Å, c = 5.9820 Å
α = 152.40°, β = 141.46°, γ = 48.06°
Fractional coordinates of all 3 atoms:
Pt 0.6259 0.6259 0.0000
Pb 0.3363 0.3363 0.0000
Os 0.0379 0.0379 0.0000

- Calculated volume: 20.52 Å³/atom
- Size of the total moment: 0.00 μB per atom
- SG: Imm2, No. 44

=====

x:
## OsPtPb (PBE)

Data for a geometry-optimized OsPtPb structure.

a = 6.7388 Å, b = 6.7387 Å, c = 3.0083 Å
α = 77.10°, β = 77.10°, γ = 25.79°
Fractional coordinates of all 3 atoms:
Pb 0.3410 0.3410 0.6590
Os 0.0160 0.0160 0.9840
Pt 0.6431 0.6431 0.3569

- Calculated volume: 19.29 Å³/atom
- Size of the total moment: 0.29 μB per atom
- SG: I4mm, No. 107

=====

Least stable = x

=====

w:
## Os2Pt2Pb (PBE)

Data for a geometry-optimized Os2Pt2Pb structure.

a = 4.1011 Å, b = 4.1011 Å, c = 6.3573 Å
α = 71.18°, β = 71.18°, γ = 90.00°
Fractional coordinates of all 5 atoms:
Os 0.6026 0.6026 0.7948
Os 0.3974 0.3974 0.2052
Pb 0.0000 0.0000 0.0000
Pt 0.2500 0.7500 0.5000
Pt 0.7500 0.2500 0.5000

- Calculated volume: 19.03 Å³/atom
- Size of the total moment: 0.00 μB per atom
- SG: I4/mmm, No. 139

=====

x:
## Os2Pt2Pb (PBE)

Data for a geometry-optimized Os2Pt2Pb structure.

a = 7.9759 Å, b = 7.9759 Å, c = 2.7817 Å
α = 90.00°, β = 90.00°, γ = 90.00°
Fractional coordinates of all 10 atoms:
Pb 0.5000 0.5000 0.0000
Pb 0.0000 0.0000 0.0000
Os 0.3876 0.8876 0.0000
Os 0.6124 0.1124 0.0000
Os 0.8876 0.6124 0.0000
Os 0.1124 0.3876 0.0000
Pt 0.3169 0.1831 0.5000
Pt 0.1831 0.6831 0.5000
Pt 0.6831 0.8169 0.5000
Pt 0.8169 0.3169 0.5000

- Calculated volume: 17.70 Å³/atom
- Size of the total moment: 0.00 μB per atom
- SG: P4/mbm, No. 127

=====

Least stable = w

=====

w:
## Pu2OsPb (PBE)

Data for a geometry-optimized Pu2OsPb structure.

a = 3.2512 Å, b = 3.2512 Å, c = 8.9591 Å
α = 90.00°, β = 90.00°, γ = 90.00°
Fractional coordinates of all 4 atoms:
Pu 0.0000 0.0000 0.8000
Pu 0.0000 0.0000 0.2000
Pb 0.5000 0.5000 0.5000
Os 0.5000 0.5000 0.0000

- Calculated volume: 23.68 Å³/atom
- Size of the total moment: 2.53 μB per atom
- SG: P4/mmm, No. 123

=====

x:
## Pu2OsPb (PBE)

Data for a geometry-optimized Pu2OsPb structure.

a = 3.3184 Å, b = 3.3184 Å, c = 10.9984 Å
α = 81.32°, β = 81.32°, γ = 60.00°
Fractional coordinates of all 4 atoms:
Pb 0.0000 0.0000 0.0000
Os 0.5000 0.5000 0.5000
Pu 0.8978 0.8978 0.3067
Pu 0.1022 0.1022 0.6933

- Calculated volume: 25.82 Å³/atom
- Size of the total moment: 2.72 μB per atom
- SG: R-3m, No. 166

=====

Least stable = x